Here is CeScP after structural relaxation from Alexandria. Energies are from GGA-PBE.

Summary:
**SG**: No. 166
**ΔE_f**: -820.5 meV per atom

Lattice parameters (Å, degrees): 3.769 3.769 12.640 81.43 81.43 60.00
Sites, in units of the cell vectors:
P (0.924, 0.924, 0.227)
P (0.076, 0.076, 0.773)
Sc (0.628, 0.628, 0.115)
Ce (0.789, 0.789, 0.632)
Ce (0.211, 0.211, 0.368)
Sc (0.372, 0.372, 0.885)